No. 1
# NaLi2Hg4Pb

NaLi2Hg4Pb after structural relaxation (PBE-GGA, the Alexandria database).

Lattice parameters (Å, degrees): 5.0509 5.0509 25.4738 90.00 90.00 120.00
Space group R-3m (No. 166, hexagonal axes)
Inequivalent atoms, fractional coordinates:
1 Na 0.0000 0.0000 0.0000
2 Li 0.0000 0.0000 0.2446
3 Hg 0.0000 0.0000 0.1171
4 Hg 0.0000 0.0000 0.3702
5 Pb 0.0000 0.0000 0.5000

Properties
- Spin magnetization: 0.00 μB per formula unit
- Formation energy from the elements: -215 meV per atom
- Crystal system: trigonal

***

No. 2
# NaLiHg2Pd

NaLiHg2Pd after structural relaxation (PBE-GGA, the Alexandria database).

Lattice parameters (Å, degrees): 5.316 5.316 4.666 90.00 90.00 90.00
Space group P4/mmm (No. 123)
Inequivalent atoms, fractional coordinates:
1 Na 0.000 0.000 0.000
2 Li 0.500 0.500 0.000
3 Hg 0.000 0.500 0.500
4 Pd 0.500 0.500 0.500

Properties
- Spin magnetization: 0.00 μB per formula unit
- Formation energy from the elements: -166 meV per atom
- Crystal system: tetragonal

***

No. 3
# Rb2NaLiHg

Rb2NaLiHg after structural relaxation (PBE-GGA, the Alexandria database).

Lattice parameters (Å, degrees): 7.048 7.048 5.357 90.00 90.00 90.00
Space group P4/mmm (No. 123)
Inequivalent atoms, fractional coordinates:
1 Rb 0.000 0.500 0.000
2 Na 0.000 0.000 0.500
3 Li 0.500 0.500 0.500
4 Hg 0.500 0.500 0.000

Properties
- Spin magnetization: 0.00 μB per formula unit
- Formation energy from the elements: 17 meV per atom
- Crystal system: tetragonal

***

No. 4
# RbNa2LiHg

RbNa2LiHg after structural relaxation (PBE-GGA, the Alexandria database).

Lattice parameters (Å, degrees): 5.904 5.904 5.391 90.00 90.00 90.00
Space group P4/mmm (No. 123)
Inequivalent atoms, fractional coordinates:
1 Rb 0.000 0.000 0.000
2 Na 0.000 0.500 0.500
3 Li 0.500 0.500 0.500
4 Hg 0.500 0.500 0.000

Properties
- Energy above the lowest structure with this stoichiometry: 0.027 eV/atom
- Spin magnetization: 0.00 μB per formula unit
- Formation energy from the elements: -17 meV per atom
- Crystal system: tetragonal